[1]
First-principles (PBE) data for crystalline Rb2I2Cl7 at its relaxed geometry, as listed in Alexandria.

density	2620	kg/m³
distance to the lowest polymorph of the same formula	0.00	eV/f.u.
uncorrected formation energy	-0.807	eV/atom
DFT total energy	-26.8	eV per formula unit
crystal system	monoclinic

POSCAR file:
```
Rb2I2Cl7
1.0
8.351 0.000 0.000
0.000 19.145 0.000
-0.470 0.000 5.335
Rb I Cl
4 4 14
Direct
0.114 0.126 0.244
0.114 0.374 0.744
0.886 0.626 0.256
0.886 0.874 0.756
0.372 0.612 0.757
0.372 0.888 0.257
0.628 0.112 0.743
0.628 0.388 0.243
0.099 0.555 0.782
0.099 0.945 0.282
0.114 0.748 0.561
0.114 0.752 0.061
0.352 0.164 0.771
0.352 0.336 0.271
0.500 0.000 0.500
0.500 0.500 0.000
0.648 0.664 0.729
0.648 0.836 0.229
0.886 0.248 0.939
0.886 0.252 0.439
0.901 0.055 0.718
0.901 0.445 0.218
```

---

[2]
First-principles (PBE) data for crystalline Rb2ICl8 at its relaxed geometry, as listed in Alexandria.

density	2216	kg/m³
uncorrected formation energy	-0.731	eV/atom
DFT total energy	-26.3	eV per formula unit
crystal system	monoclinic

POSCAR file:
```
Rb2ICl8
1.0
6.518 -5.294 0.000
6.518 5.294 0.000
-1.024 0.000 6.313
Rb I Cl
2 1 8
Direct
0.161 0.161 0.401
0.839 0.839 0.599
0.500 0.500 0.500
0.075 0.075 0.885
0.222 0.554 0.632
0.379 0.379 0.157
0.446 0.778 0.368
0.554 0.222 0.632
0.621 0.621 0.843
0.778 0.446 0.368
0.925 0.925 0.115
```

---

DFT total energy of number 1 (Rb2I2Cl7)?
-26.8 eV per formula unit